1.
DFT (PBE-GGA) results for RbBaAg2 after structural relaxation.

Lattice parameters (Å, degrees): 4.1788 5.9233 5.9233 90.00 90.00 90.00
Last column: nearest neighbours and their distance in Å.
Fractional positions:
Rb 0.5000 0.0000 0.0000  8 Ag 3.62
Ba 0.5000 0.5000 0.5000  8 Ag 3.62
Ag 0.0000 0.0000 0.5000  4 Ba 3.62, 4 Rb 3.62
Ag 0.0000 0.5000 0.0000  4 Ba 3.62, 4 Rb 3.62

Calculated density   4.967 g/cm3
Energy of formation from the pure elements   -0.040 eV/atom


2.
DFT (PBE-GGA) results for MoSI2 after structural relaxation.

Lattice parameters (Å, degrees): 10.3929 10.3929 7.6930 47.51 47.51 90.00
Last column: nearest neighbours and their distance in Å.
Fractional positions:
I 0.7772 0.1250 0.2500  2 Mo 2.85
I 0.9728 0.6250 0.2500  2 Mo 2.85
I 0.3750 0.2228 0.7500  2 Mo 2.85
I 0.8750 0.0272 0.7500  2 Mo 2.85
Mo 0.0000 0.0000 0.0000  2 S 2.27
Mo 0.7500 0.2500 0.5000  2 S 2.27
S 0.5000 0.5000 0.0000  2 Mo 2.27
S 0.2500 0.7500 0.5000  2 Mo 2.27

VASP energy   -0.331 Ry per atom
Calculated density   5.160 g/cm3


3.
DFT (PBE-GGA) results for BeTl3In after structural relaxation.

Lattice parameters (Å, degrees): 5.8388 5.8388 5.8388 90.00 90.00 90.00
Last column: nearest neighbours and their distance in Å.
Fractional positions:
Be 0.5000 0.5000 0.5000  12 Tl 4.13
Tl 0.0000 0.5000 0.0000  2 In 2.92
Tl 0.0000 0.0000 0.5000  2 In 2.92
Tl 0.5000 0.0000 0.0000  2 In 2.92
In 0.0000 0.0000 0.0000  6 Tl 2.92

Calculated density   6.148 g/cm3
Energy of formation from the pure elements   0.894 eV/atom


> Which of these has the lowest calculated density?

RbBaAg2


> Which formula does entry 3 have?

BeTl3In